6
Lattice="3.1050 0.0017 0.0546 1.5536 2.6884 0.0546 1.3244 0.7648 13.5013" Properties=species:S:1:pos:R:3 comment="ZrTiPd | Alexandria | GGA-PBE | optimized geometry" n_ef_per_ev_cell=4.64 magmom_total_mub_per_atom=0.00 ef_ev_per_fu=-0.5 e_tot_ev_per_atom=-7.3845 sg=R-3m pbc="T T T"
Zr 2.1581 1.2462 10.2632
Zr 3.8249 2.2087 3.3474
Ti 2.2350 1.2906 5.6735
Ti 3.7480 2.1643 7.9371
Pd 5.2268 3.0182 12.4769
Pd 0.7562 0.4367 1.1337